(w)
Computed, not measured: crystalline KRbS2N at its relaxed geometry at the PBE level of DFT.

Lattice parameters (Å, degrees): 6.0814 6.0814 5.5251 90.00 90.00 90.00
Last column: nearest neighbours and their distance in Å.
Positions (direct):
1 N 0.0000 0.0000 0.5000  2 Rb 2.76
2 S 0.5000 0.0000 0.0000  2 Rb 3.04
3 S 0.0000 0.5000 0.0000  2 Rb 3.04
4 Rb 0.0000 0.0000 0.0000  2 N 2.76, 4 S 3.04
5 K 0.5000 0.5000 0.5000  8 S 4.11, 4 N 4.30

---

(x)
Computed, not measured: crystalline KRbS2N at its relaxed geometry at the PBE level of DFT.

Lattice parameters (Å, degrees): 5.9030 5.9030 5.3715 90.00 90.00 90.00
Last column: nearest neighbours and their distance in Å.
Positions (direct):
1 N 0.0000 0.0000 0.5000  2 K 2.69
2 S 0.0000 0.5000 0.0000  2 K 2.95
3 K 0.0000 0.0000 0.0000  2 N 2.69, 4 S 2.95
4 Rb 0.5000 0.5000 0.5000  8 S 3.99, 4 N 4.17
5 S 0.5000 0.0000 0.0000  2 K 2.95

---

Which one sits at the top of the stability order? (x) does.

---

(w)
Computed, not measured: crystalline KRbSe2N at its relaxed geometry at the PBE level of DFT.

Lattice parameters (Å, degrees): 6.1556 6.1556 5.3720 90.00 90.00 90.00
Last column: nearest neighbours and their distance in Å.
Positions (direct):
1 Se 0.5000 0.0000 0.0000  2 K 3.08
2 Se 0.0000 0.5000 0.0000  2 K 3.08
3 N 0.0000 0.0000 0.5000  2 K 2.69
4 K 0.0000 0.0000 0.0000  2 N 2.69
5 Rb 0.5000 0.5000 0.5000  8 Se 4.09, 4 N 4.35

---

(x)
Computed, not measured: crystalline KRbSe2N at its relaxed geometry at the PBE level of DFT.

Lattice parameters (Å, degrees): 6.3461 6.3461 5.5255 90.00 90.00 90.00
Last column: nearest neighbours and their distance in Å.
Positions (direct):
1 Se 0.5000 0.0000 0.0000  2 Rb 3.17
2 Rb 0.0000 0.0000 0.0000  2 N 2.76
3 N 0.0000 0.0000 0.5000  2 Rb 2.76
4 Se 0.0000 0.5000 0.0000  2 Rb 3.17
5 K 0.5000 0.5000 0.5000  8 Se 4.21, 4 N 4.49

---

Which one sits at the top of the stability order? (w) does.

---

(w)
Computed, not measured: crystalline KRbTe2N at its relaxed geometry at the PBE level of DFT.

Lattice parameters (Å, degrees): 6.7881 6.7881 5.4987 90.00 90.00 90.00
Last column: nearest neighbours and their distance in Å.
Positions (direct):
1 Te 0.5000 0.0000 0.0000  2 Rb 3.39
2 K 0.5000 0.5000 0.5000  8 Te 4.37, 4 N 4.80
3 Rb 0.0000 0.0000 0.0000  2 N 2.75
4 N 0.0000 0.0000 0.5000  2 Rb 2.75
5 Te 0.0000 0.5000 0.0000  2 Rb 3.39

---

(x)
Computed, not measured: crystalline KRbTe2N at its relaxed geometry at the PBE level of DFT.

Lattice parameters (Å, degrees): 6.5789 6.5789 5.3406 90.00 90.00 90.00
Last column: nearest neighbours and their distance in Å.
Positions (direct):
1 Te 0.5000 0.0000 0.0000  2 K 3.29
2 Rb 0.5000 0.5000 0.5000  8 Te 4.24, 4 N 4.65
3 Te 0.0000 0.5000 0.0000  2 K 3.29
4 N 0.0000 0.0000 0.5000  2 K 2.67
5 K 0.0000 0.0000 0.0000  2 N 2.67

---

Which one sits at the top of the stability order? (x) does.